[1]
CdH2O2 | OQMD | GGA-PBE | relaxed; ΔE to the lowest computed polymorph = 0.0166 eV/atom
1.0
-0.872 2.621 4.103
1.348 -4.412 3.104
8.170 2.564 0.098
H O Cd
8 8 4
direct
0.184 0.921 0.626
0.395 0.354 0.282
0.816 0.421 0.874
0.895 0.146 0.718
0.684 0.579 0.374
0.605 0.854 0.218
0.105 0.646 0.782
0.316 0.079 0.126
0.234 0.312 0.212
0.266 0.688 0.712
0.124 0.092 0.599
0.624 0.408 0.401
0.876 0.592 0.901
0.376 0.908 0.099
0.734 0.188 0.788
0.766 0.812 0.288
0.057 0.640 0.129
0.443 0.360 0.629
0.943 0.140 0.371
0.557 0.860 0.871

[2]
CdH2O2 | OQMD | GGA-PBE | relaxed; ΔE to the lowest computed polymorph = 0.0395 eV/atom
1.0
1.710 -5.467 0.000
1.710 5.467 0.000
0.000 0.000 4.919
H Cd O
4 2 4
direct
0.908 0.092 0.213
0.092 0.908 0.713
0.512 0.488 0.417
0.488 0.512 0.917
0.180 0.820 0.214
0.820 0.180 0.714
0.548 0.452 0.229
0.181 0.819 0.730
0.452 0.548 0.729
0.819 0.181 0.230

[3]
CdP2H6O7: relaxed, GGA-PBE.

POSCAR file:
```
CdP2H6O7
1.0
6.735 0.043 -0.013
-0.639 7.280 -0.011
-2.840 -3.415 6.522
O P H Cd
14 4 12 2
direct
0.755 0.767 0.178
0.110 0.256 0.181
0.505 0.411 0.727
0.087 0.249 0.494
0.913 0.751 0.506
0.890 0.744 0.819
0.245 0.233 0.822
0.129 0.826 0.192
0.341 0.730 0.557
0.313 0.878 0.982
0.495 0.589 0.273
0.687 0.122 0.018
0.871 0.174 0.808
0.659 0.270 0.443
0.306 0.238 0.655
0.886 0.251 0.029
0.694 0.762 0.345
0.114 0.749 0.971
0.136 0.546 0.905
0.898 0.748 0.632
0.817 0.275 0.481
0.634 0.338 0.568
0.366 0.662 0.432
0.977 0.808 0.198
0.023 0.192 0.802
0.102 0.252 0.368
0.652 0.950 0.446
0.183 0.725 0.519
0.348 0.050 0.554
0.864 0.454 0.095
0.431 0.238 0.135
0.569 0.762 0.865
```

Number 1: final energy -22.7 eV/f.u.. Number 2: final energy -22.6 eV/f.u.. Number 3: final energy -88.0 eV/f.u..